A geometry-optimized TlCdF3 structure, computed with PBE.

Values from the calculation:
- N(E_F): 0.00 states/eV/cell
- SG: No. 8
- E_form (uncorrected): -46.36 kcal/mol of atoms

The structure in POSCAR format:
```
TlCdF3
1.0
-2.494 2.315 -1.018
-5.133 -1.527 2.920
1.119 2.683 3.362
Tl Cd F
1 1 3
Direct
0.585 0.424 0.525
0.848 0.897 0.026
0.473 0.647 0.026
0.228 0.138 0.026
0.901 0.792 0.526
```